Entry 1:
The following is a DFT calculation (PBE) of a relaxed structure of PrNd2Zr.

abc: 5.027 5.009 5.009
angles: 90.00 90.00 90.00
Fractional coordinates of all 4 atoms:
Pr (0.500, 0.000, 0.000)
Nd (0.000, 0.500, 0.000)
Nd (0.000, 0.000, 0.500)
Zr (0.500, 0.500, 0.500)

Computed properties:
Total energy in eV/cell: -22.278
DOS(E_F) in states/eV per cell: 3.98
Formation energy from the elements in eV/atom: 0.1463
Polymorph energy (0 for the lowest one) in eV per atom: 0.0209
Volume in Å³/cell: 126



Entry 2:
The following is a DFT calculation (PBE) of a relaxed structure of NbGaP2O.

abc: 4.968 4.968 3.896
angles: 90.00 90.00 90.00
Fractional coordinates of all 5 atoms:
P (0.000, 0.500, 0.000)
Nb (0.000, 0.000, 0.000)
P (0.500, 0.000, 0.000)
O (0.000, 0.000, 0.500)
Ga (0.500, 0.500, 0.500)

Computed properties:
Formation energy (no corrections) in eV/atom: -0.389
Total energy in eV/cell: -30.822
DOS(E_F) in states/eV per cell: 3.04
Polymorph energy (0 for the lowest one) in eV per atom: 0.0000
Volume in Å³/cell: 96